First-principles (PBE) data for an optimized crystal structure of Sr2Hg5Bi3, as listed in Alexandria via LeMat-Bulk.

a b c (Å): 6.676 10.337 10.337
angles (deg): 88.56 71.16 71.16
Positions (direct):
Hg (0.750, 0.500, 0.500)
Hg (0.347, 0.285, 0.021)
Hg (0.981, 0.269, 0.269)
Hg (0.653, 0.715, 0.979)
Hg (0.847, 0.021, 0.285)
Hg (0.019, 0.731, 0.731)
Hg (0.519, 0.731, 0.731)
Hg (0.250, 0.500, 0.500)
Hg (0.153, 0.979, 0.715)
Hg (0.481, 0.269, 0.269)
Sr (0.124, 0.658, 0.093)
Sr (0.624, 0.093, 0.658)
Sr (0.876, 0.342, 0.907)
Sr (0.376, 0.907, 0.342)
Bi (0.886, 0.782, 0.446)
Bi (0.614, 0.554, 0.218)
Bi (0.750, 0.000, 0.000)
Bi (0.250, 0.000, 0.000)
Bi (0.114, 0.218, 0.554)
Bi (0.386, 0.446, 0.782)

**Space group**: Ibam
**ΔE_f**: -0.281 eV/atom